(1)
Density functional theory data (PBE) for a relaxed TlAg2PtCl8 crystal.

a = 6.2658 Å, b = 6.2962 Å, c = 8.3753 Å
α = 83.40°, β = 83.21°, γ = 89.26°
With the nearest neighbours (Å) after each atom.
Element x y z (fractional)
Tl (0.0000, 0.0000, 0.0000)  6 Cl 2.84-3.06
Ag (0.4279, 0.4314, 0.2327)  3 Cl 2.50-2.62
Ag (0.5721, 0.5686, 0.7673)  3 Cl 2.50-2.62
Pt (0.0000, 0.0000, 0.5000)  6 Cl 2.36
Cl (0.1643, 0.7867, 0.7016)  1 Pt 2.36
Cl (0.2263, 0.8502, 0.2967)  1 Pt 2.36
Cl (0.2539, 0.2723, 0.5032)  1 Pt 2.36, 1 Ag 2.50
Cl (0.3184, 0.3244, 0.9608)  2 Ag 2.53-2.62
Cl (0.6816, 0.6756, 0.0392)  2 Ag 2.53-2.62
Cl (0.7461, 0.7277, 0.4968)  1 Pt 2.36, 1 Ag 2.50
Cl (0.7737, 0.1498, 0.7033)  1 Pt 2.36
Cl (0.8357, 0.2133, 0.2984)  1 Pt 2.36

=====

(2)
Density functional theory data (PBE) for a relaxed Tl2AgPtCl6 crystal.

a = 13.3636 Å, b = 13.3636 Å, c = 13.3636 Å
α = 30.76°, β = 30.76°, γ = 30.76°
With the nearest neighbours (Å) after each atom.
Element x y z (fractional)
Tl (0.1325, 0.1325, 0.1325)  9 Cl 3.42-3.55
Tl (0.3049, 0.3049, 0.3049)  9 Cl 3.25-3.56
Tl (0.6951, 0.6951, 0.6951)  9 Cl 3.25-3.56
Tl (0.8675, 0.8675, 0.8675)  9 Cl 3.42-3.55
Ag (0.4124, 0.4124, 0.4124)  6 Cl 2.64-2.78
Ag (0.5876, 0.5876, 0.5876)  6 Cl 2.64-2.78
Pt (0.0000, 0.0000, 0.0000)  6 Cl 2.44
Pt (0.5000, 0.5000, 0.5000)  6 Cl 2.43
Cl (0.1389, 0.6257, 0.6257)  1 Pt 2.43
Cl (0.1996, 0.1996, 0.7112)  1 Pt 2.44, 1 Ag 2.64
Cl (0.1996, 0.7112, 0.1996)  1 Pt 2.44, 1 Ag 2.64
Cl (0.2888, 0.8004, 0.8004)  1 Pt 2.44, 1 Ag 2.64
Cl (0.3743, 0.3743, 0.8611)  1 Pt 2.43
Cl (0.3743, 0.8611, 0.3743)  1 Pt 2.43
Cl (0.6257, 0.1389, 0.6257)  1 Pt 2.43
Cl (0.6257, 0.6257, 0.1389)  1 Pt 2.43
Cl (0.7112, 0.1996, 0.1996)  1 Pt 2.44, 1 Ag 2.64
Cl (0.8004, 0.2888, 0.8004)  1 Pt 2.44, 1 Ag 2.64
Cl (0.8004, 0.8004, 0.2888)  1 Pt 2.44, 1 Ag 2.64
Cl (0.8611, 0.3743, 0.3743)  1 Pt 2.43

=====

(3)
Density functional theory data (PBE) for a relaxed YAgPtCl2 crystal.

a = 5.1556 Å, b = 5.1556 Å, c = 5.4826 Å
α = 90.00°, β = 90.00°, γ = 90.00°
With the nearest neighbours (Å) after each atom.
Element x y z (fractional)
Y (0.0000, 0.0000, 0.0000)  4 Cl 2.58, 2 Pt 2.74
Ag (0.5000, 0.5000, 0.5000)  4 Pt 3.65, 8 Cl 3.76
Pt (0.0000, 0.0000, 0.5000)  2 Y 2.74
Cl (0.0000, 0.5000, 0.0000)  2 Y 2.58
Cl (0.5000, 0.0000, 0.0000)  2 Y 2.58

=====

(4)
Density functional theory data (PBE) for a relaxed Pu2AgCl11 crystal.

a = 11.4272 Å, b = 11.4272 Å, c = 11.4272 Å
α = 126.42°, β = 97.80°, γ = 105.70°
With the nearest neighbours (Å) after each atom.
Element x y z (fractional)
Pu (0.0818, 0.2309, 0.3127)  6 Cl 2.47-2.68
Pu (0.4182, 0.7309, 0.1491)  6 Cl 2.47-2.68
Pu (0.5818, 0.2691, 0.8509)  6 Cl 2.47-2.68
Pu (0.9182, 0.7691, 0.6873)  6 Cl 2.47-2.68
Ag (0.2500, 0.7500, 0.5000)  4 Cl 2.59
Ag (0.7500, 0.2500, 0.5000)  4 Cl 2.59
Cl (0.0000, 0.0000, 0.0000)  2 Pu 2.68
Cl (0.0511, 0.0202, 0.3311)  1 Pu 2.48
Cl (0.0986, 0.4418, 0.2848)  1 Pu 2.57, 1 Ag 2.59
Cl (0.1570, 0.8138, 0.7152)  1 Pu 2.57, 1 Ag 2.59
Cl (0.1609, 0.4411, 0.6020)  1 Pu 2.47
Cl (0.1891, 0.5202, 0.9691)  1 Pu 2.48
Cl (0.3109, 0.2800, 0.3311)  1 Pu 2.48
Cl (0.3391, 0.9411, 0.2802)  1 Pu 2.47
Cl (0.3430, 0.0582, 0.6567)  1 Pu 2.57, 1 Ag 2.59
Cl (0.4014, 0.6862, 0.3433)  1 Pu 2.57, 1 Ag 2.59
Cl (0.4489, 0.7800, 0.9691)  1 Pu 2.48
Cl (0.5000, 0.5000, 0.0000)  2 Pu 2.68
Cl (0.5511, 0.2200, 0.0309)  1 Pu 2.48
Cl (0.5986, 0.3138, 0.6567)  1 Pu 2.57, 1 Ag 2.59
Cl (0.6570, 0.9418, 0.3433)  1 Pu 2.57, 1 Ag 2.59
Cl (0.6609, 0.0589, 0.7198)  1 Pu 2.47
Cl (0.6891, 0.7200, 0.6689)  1 Pu 2.48
Cl (0.8109, 0.4798, 0.0309)  1 Pu 2.48
Cl (0.8391, 0.5589, 0.3980)  1 Pu 2.47
Cl (0.8430, 0.1862, 0.2848)  1 Pu 2.57, 1 Ag 2.59
Cl (0.9014, 0.5582, 0.7152)  1 Pu 2.57, 1 Ag 2.59
Cl (0.9489, 0.9798, 0.6689)  1 Pu 2.48

=====

(5)
Density functional theory data (PBE) for a relaxed PuAgCl4 crystal.

a = 6.8320 Å, b = 6.8320 Å, c = 7.1082 Å
α = 94.37°, β = 94.37°, γ = 35.05°
With the nearest neighbours (Å) after each atom.
Element x y z (fractional)
Pu (0.0000, 0.0000, 0.0000)  6 Cl 2.69-2.75
Ag (0.5000, 0.5000, 0.5000)  4 Cl 2.73
Cl (0.1023, 0.1023, 0.3448)  1 Pu 2.69, 2 Ag 2.73
Cl (0.3791, 0.3791, 0.1116)  2 Pu 2.75, 1 Ag 3.07
Cl (0.6209, 0.6209, 0.8884)  2 Pu 2.75, 1 Ag 3.07
Cl (0.8977, 0.8977, 0.6552)  1 Pu 2.69, 2 Ag 2.73

=====

(6)
Density functional theory data (PBE) for a relaxed PuAg2Cl6 crystal.

a = 6.4341 Å, b = 6.4341 Å, c = 11.9296 Å
α = 90.00°, β = 90.00°, γ = 90.00°
With the nearest neighbours (Å) after each atom.
Element x y z (fractional)
Pu (0.0000, 0.0000, 0.0000)  6 Cl 2.63
Pu (0.5000, 0.5000, 0.5000)  6 Cl 2.63
Ag (0.0000, 0.0000, 0.3322)  6 Cl 2.73-2.78
Ag (0.0000, 0.0000, 0.6678)  6 Cl 2.73-2.78
Ag (0.5000, 0.5000, 0.1678)  6 Cl 2.73-2.78
Ag (0.5000, 0.5000, 0.8322)  6 Cl 2.73-2.78
Cl (0.1999, 0.1999, 0.1589)  1 Pu 2.63, 2 Ag 2.73-2.75
Cl (0.1999, 0.1999, 0.8411)  1 Pu 2.63, 2 Ag 2.73-2.75
Cl (0.2113, 0.2113, 0.5000)  1 Pu 2.63, 2 Ag 2.78
Cl (0.2887, 0.7113, 0.0000)  1 Pu 2.63, 2 Ag 2.78
Cl (0.3001, 0.6999, 0.3411)  1 Pu 2.63, 2 Ag 2.73-2.75
Cl (0.3001, 0.6999, 0.6589)  1 Pu 2.63, 2 Ag 2.73-2.75
Cl (0.6999, 0.3001, 0.3411)  1 Pu 2.63, 2 Ag 2.73-2.75
Cl (0.6999, 0.3001, 0.6589)  1 Pu 2.63, 2 Ag 2.73-2.75
Cl (0.7113, 0.2887, 0.0000)  1 Pu 2.63, 2 Ag 2.78
Cl (0.7887, 0.7887, 0.5000)  1 Pu 2.63, 2 Ag 2.78
Cl (0.8001, 0.8001, 0.1589)  1 Pu 2.63, 2 Ag 2.73-2.75
Cl (0.8001, 0.8001, 0.8411)  1 Pu 2.63, 2 Ag 2.73-2.75

=====

| no. | mass density (Mg/m³) | formation energy from raw total energies (eV/atom) |
| --- | --- | --- |
| 1 | 4.6 | -0.5045 |
| 2 | 5.5 | -0.6398 |
| 3 | 5.3 | -0.5975 |
| 4 | 3.1 | -1.2285 |
| 5 | 4.3 | -1.3961 |
| 6 | 4.5 | -1.1249 |